! Fe2AgB2O6 | Alexandria | PBE with a Hubbard U | optimized geometry; values from VASP
&SYSTEM
  ibrav = 0, nat = 11, ntyp = 4
/
ATOMIC_SPECIES
Fe 55.84 Fe.upf
Ag 107.87 Ag.upf
B 10.81 B.upf
O 16.00 O.upf
CELL_PARAMETERS angstrom
5.259 0.000 0.000
-0.425 5.376 0.000
-1.992 -1.847 5.142
ATOMIC_POSITIONS crystal
Fe 0.157 0.267 0.040
Fe 0.843 0.733 0.960
Ag 0.500 0.000 0.500
B 0.250 0.748 0.809
B 0.750 0.252 0.191
O 0.059 0.913 0.769
O 0.199 0.585 0.939
O 0.470 0.755 0.734
O 0.530 0.245 0.266
O 0.801 0.415 0.061
O 0.941 0.087 0.231
! Space-group type: P-1 (2)
! Total DFT energy (no corrections), eV/atom: -6.819